DFT (PBE) results for an optimized crystal structure of PmFe2AsN.

Structure (CIF):
```
data_PmFe2AsN
_chemical_formula_sum 'Pm4 Fe8 As4 N4'
_cell_length_a 3.761
_cell_length_b 10.724
_cell_length_c 6.911
_cell_angle_alpha 90.00
_cell_angle_beta 90.00
_cell_angle_gamma 90.00
_space_group_name_H-M_alt 'C m c m'
_space_group_IT_number 63
_space_group_name_Hall '-C 2c 2'
loop_
_atom_site_label
_atom_site_type_symbol
_atom_site_fract_x
_atom_site_fract_y
_atom_site_fract_z
_atom_site_occupancy
Pm1 Pm 0.000 0.048 0.250 1
Fe1 Fe 0.000 0.340 0.053 1
As1 As 0.000 0.229 0.750 1
N1 N 0.000 0.500 0.000 1
```

## Properties
D(E_F) in states/eV/atom: 0.456
Formation energy without anion corrections in eV/atom: -0.733
DFT total energy in eV per atom: -7.66

=====

DFT (PBE) results for an optimized crystal structure of PrFe2AsN.

Structure (CIF):
```
data_PrFe2AsN
_chemical_formula_sum 'Pr4 Fe8 As4 N4'
_cell_length_a 3.820
_cell_length_b 10.766
_cell_length_c 6.947
_cell_angle_alpha 90.00
_cell_angle_beta 90.00
_cell_angle_gamma 90.00
_space_group_name_H-M_alt 'C m c m'
_space_group_IT_number 63
_space_group_name_Hall '-C 2c 2'
loop_
_atom_site_label
_atom_site_type_symbol
_atom_site_fract_x
_atom_site_fract_y
_atom_site_fract_z
_atom_site_occupancy
Pr1 Pr 0.000 0.049 0.250 1
Fe1 Fe 0.000 0.340 0.054 1
As1 As 0.000 0.228 0.750 1
N1 N 0.000 0.500 0.000 1
```

## Properties
D(E_F) in states/eV/atom: 0.486
Formation energy without anion corrections in eV/atom: -0.691
DFT total energy in eV per atom: -7.63

=====

DFT (PBE) results for an optimized crystal structure of Rb2Fe2As2N.

Structure (CIF):
```
data_Rb2Fe2As2N
_chemical_formula_sum 'Rb4 Fe4 As4 N2'
_cell_length_a 11.066
_cell_length_b 3.959
_cell_length_c 8.265
_cell_angle_alpha 90.00
_cell_angle_beta 120.53
_cell_angle_gamma 90.00
_space_group_name_H-M_alt 'C 1 2/m 1'
_space_group_IT_number 12
_space_group_name_Hall '-C 2y'
loop_
_atom_site_label
_atom_site_type_symbol
_atom_site_fract_x
_atom_site_fract_y
_atom_site_fract_z
_atom_site_occupancy
Rb1 Rb 0.066 0.000 0.339 1
Fe1 Fe 0.169 0.500 0.046 1
As1 As 0.215 0.500 0.801 1
N1 N 0.000 0.500 0.000 1
```

## Properties
D(E_F) in states/eV/atom: 0.373
Formation energy without anion corrections in eV/atom: -0.260
DFT total energy in eV per atom: -5.47

=====

DFT (PBE) results for an optimized crystal structure of FeAsSN2.

Structure (CIF):
```
data_FeAsSN2
_chemical_formula_sum 'Fe1 As1 S1 N2'
_cell_length_a 3.617
_cell_length_b 3.617
_cell_length_c 4.854
_cell_angle_alpha 90.00
_cell_angle_beta 90.00
_cell_angle_gamma 90.00
_space_group_name_H-M_alt 'P 4/m m m'
_space_group_IT_number 123
_space_group_name_Hall '-P 4 2'
loop_
_atom_site_label
_atom_site_type_symbol
_atom_site_fract_x
_atom_site_fract_y
_atom_site_fract_z
_atom_site_occupancy
Fe1 Fe 0.000 0.000 0.000 1
As1 As 0.500 0.500 0.500 1
S1 S 0.000 0.000 0.500 1
N1 N 0.000 0.500 0.000 1
```

## Properties
Polymorph energy (0 for the lowest one) in eV/atom: 0.0000
D(E_F) in states/eV/atom: 0.575
Formation energy without anion corrections in eV/atom: 0.891
DFT total energy in eV per atom: -5.89

=====

DFT (PBE) results for an optimized crystal structure of FeAsS2N.

Structure (CIF):
```
data_FeAsS2N
_chemical_formula_sum 'Fe1 As1 S2 N1'
_cell_length_a 4.641
_cell_length_b 4.641
_cell_length_c 3.418
_cell_angle_alpha 90.00
_cell_angle_beta 90.00
_cell_angle_gamma 90.00
_space_group_name_H-M_alt 'P 4/m m m'
_space_group_IT_number 123
_space_group_name_Hall '-P 4 2'
loop_
_atom_site_label
_atom_site_type_symbol
_atom_site_fract_x
_atom_site_fract_y
_atom_site_fract_z
_atom_site_occupancy
Fe1 Fe 0.000 0.000 0.000 1
As1 As 0.500 0.500 0.500 1
S1 S 0.000 0.500 0.000 1
N1 N 0.000 0.000 0.500 1
```

## Properties
Polymorph energy (0 for the lowest one) in eV/atom: 0.0000
D(E_F) in states/eV/atom: 0.739
Formation energy without anion corrections in eV/atom: 0.437
DFT total energy in eV per atom: -5.50

=====

DFT (PBE) results for an optimized crystal structure of FeAsS2N.

Structure (CIF):
```
data_FeAsS2N
_chemical_formula_sum 'Fe1 As1 S2 N1'
_cell_length_a 4.803
_cell_length_b 4.803
_cell_length_c 3.621
_cell_angle_alpha 90.00
_cell_angle_beta 90.00
_cell_angle_gamma 90.00
_space_group_name_H-M_alt 'P 4/m m m'
_space_group_IT_number 123
_space_group_name_Hall '-P 4 2'
loop_
_atom_site_label
_atom_site_type_symbol
_atom_site_fract_x
_atom_site_fract_y
_atom_site_fract_z
_atom_site_occupancy
Fe1 Fe 0.000 0.000 0.000 1
As1 As 0.500 0.500 0.500 1
S1 S 0.000 0.500 0.500 1
N1 N 0.500 0.500 0.000 1
```

## Properties
Polymorph energy (0 for the lowest one) in eV/atom: 0.6096
D(E_F) in states/eV/atom: 0.856
Formation energy without anion corrections in eV/atom: 1.047
DFT total energy in eV per atom: -4.89

=====

DFT (PBE) results for an optimized crystal structure of FeAsSN2.

Structure (CIF):
```
data_FeAsSN2
_chemical_formula_sum 'Fe1 As1 S1 N2'
_cell_length_a 3.597
_cell_length_b 3.597
_cell_length_c 5.860
_cell_angle_alpha 90.00
_cell_angle_beta 90.00
_cell_angle_gamma 90.00
_space_group_name_H-M_alt 'P 4/m m m'
_space_group_IT_number 123
_space_group_name_Hall '-P 4 2'
loop_
_atom_site_label
_atom_site_type_symbol
_atom_site_fract_x
_atom_site_fract_y
_atom_site_fract_z
_atom_site_occupancy
Fe1 Fe 0.000 0.000 0.000 1
As1 As 0.500 0.500 0.500 1
S1 S 0.500 0.500 0.000 1
N1 N 0.000 0.500 0.500 1
```

## Properties
Polymorph energy (0 for the lowest one) in eV/atom: 0.4093
D(E_F) in states/eV/atom: 0.962
Formation energy without anion corrections in eV/atom: 1.301
DFT total energy in eV per atom: -5.48

=====

DFT (PBE) results for an optimized crystal structure of SmFe2AsN.

Structure (CIF):
```
data_SmFe2AsN
_chemical_formula_sum 'Sm4 Fe8 As4 N4'
_cell_length_a 3.742
_cell_length_b 10.713
_cell_length_c 6.900
_cell_angle_alpha 90.00
_cell_angle_beta 90.00
_cell_angle_gamma 90.00
_space_group_name_H-M_alt 'C m c m'
_space_group_IT_number 63
_space_group_name_Hall '-C 2c 2'
loop_
_atom_site_label
_atom_site_type_symbol
_atom_site_fract_x
_atom_site_fract_y
_atom_site_fract_z
_atom_site_occupancy
Sm1 Sm 0.000 0.047 0.250 1
Fe1 Fe 0.000 0.339 0.053 1
As1 As 0.000 0.229 0.750 1
N1 N 0.000 0.500 0.000 1
```

## Properties
D(E_F) in states/eV/atom: 0.447
Formation energy without anion corrections in eV/atom: -0.740
DFT total energy in eV per atom: -7.66